K2BaV2ClO7 after structural relaxation, computed with PBE with a Hubbard U.

Cell and atoms, written as CIF:
```
data_K2BaV2ClO7
_cell_length_a 5.9029
_cell_length_b 5.9029
_cell_length_c 15.5212
_cell_angle_alpha 90.00
_cell_angle_beta 90.00
_cell_angle_gamma 120.00
_symmetry_space_group_name_H-M 'P 63/m m c'
_symmetry_Int_Tables_number 194
_symmetry_space_group_name_Hall '-P 6c 2c'
loop_
_atom_site_label
_atom_site_type_symbol
_atom_site_fract_x
_atom_site_fract_y
_atom_site_fract_z
_atom_site_occupancy
K1 K 0.3333 0.6667 0.0435 1
Ba1 Ba 0.3333 0.6667 0.7500 1
V1 V 0.0000 0.0000 0.1334 1
Cl1 Cl 0.3333 0.6667 0.2500 1
O1 O 0.0000 0.0000 0.2500 1
O2 O 0.1595 0.3190 0.5989 1
```

Calculated values
Total DFT energy (no corrections): -163.5 eV/cell
Magnetization: 1.13 μB per formula unit
Fermi-level density of states: 16.0 states/eV/cell